The following is a DFT calculation (PBE) of a relaxed Cu2Mo2P crystal.

Structure (POSCAR):
```
Cu2Mo2P
1.0
-2.560 3.498 -1.473
-3.091 -0.891 3.257
2.013 2.574 2.614
P Mo Cu
1 2 2
direct
0.500 0.500 0.500 P
0.000 0.500 0.000 Mo
0.500 0.000 0.000 Mo
0.000 0.000 0.000 Cu
0.000 0.000 0.500 Cu
```

- ΔE to the lowest computed polymorph (meV/atom) = 1317.0
- density of states at the Fermi level (states/eV per cell) = 5.05
- symmetry = P4/mmm (123)
- DFT total energy (eV for the cell shown) = -27.8
- total magnetic moment (μB per formula unit) = 2.464
- calculated volume (Å³ per atom) = 17.540